Entry 1:
Below is a relaxed structure of Cs2AcSnI6, with properties calculated at the PBE-GGA level.

The structure belongs to space group Pmmn (No. 59, origin choice 2); the cell edges are 10.300, 12.819 and 8.741 Å and the angles 90.00°, 90.00° and 90.00°. The asymmetric unit holds Cs at (0.250, 0.014, 0.200), Ac at (0.250, 0.750, 0.659), Sn at (0.250, 0.250, 0.626), I at (0.005, 0.250, 0.124), I at (0.059, 0.750, 0.356) and I at (0.250, 0.004, 0.677).

The calculation puts the magnetization at 2.0 Bohr magnetons per cell. The calculated volume is 1154.1 Å³ per cell. The calculation puts the formation energy from raw total energies at -1189 meV/atom.

***

Entry 2:
Below is a relaxed structure of NdDyHgPt, with properties calculated at the PBE-GGA level.

The structure belongs to space group F-43m (No. 216); the cell edges are 7.322, 7.322 and 7.322 Å and the angles 90.00°, 90.00° and 90.00°. The asymmetric unit holds Nd at (0.000, 0.000, 0.000), Dy at (0.000, 0.000, 0.500), Hg at (0.250, 0.250, 0.250) and Pt at (0.250, 0.250, 0.750).

The calculation puts the magnetization at 0.0 Bohr magnetons per cell. The calculated volume is 392.5 Å³ per cell. The formation energy is -0.76 eV per atom.

***

Entry 3:
Below is a relaxed structure of TiFe4Tc, with properties calculated at the PBE-GGA level.

The structure belongs to space group F-43m (No. 216); the cell edges are 6.699, 6.699 and 6.699 Å and the angles 90.00°, 90.00° and 90.00°. The asymmetric unit holds Ti at (0.000, 0.000, 0.000), Fe at (0.124, 0.124, 0.624) and Tc at (0.250, 0.250, 0.250).

The calculation puts the magnetization at 30.2 Bohr magnetons per cell. The calculated volume is 300.6 Å³ per cell. The formation energy is -0.09 eV per atom.

***

Entry 4:
Below is a relaxed structure of YAs3Pt, with properties calculated at the PBE-GGA level.

The structure belongs to space group Pm-3m (No. 221); the cell edges are 4.933, 4.933 and 4.933 Å and the angles 90.00°, 90.00° and 90.00°. The asymmetric unit holds Y at (0.000, 0.000, 0.000), As at (0.000, 0.500, 0.500) and Pt at (0.500, 0.500, 0.500).

The calculation puts the magnetization at 0.0 Bohr magnetons per cell. The calculated volume is 120.0 Å³ per cell. The formation energy is -0.03 eV per atom.

***

Entry 5:
Below is a relaxed structure of CaSbPtO6, with properties calculated at the PBE-GGA level.

The structure belongs to space group P-31c (No. 163); the cell edges are 5.3112, 5.3112 and 10.0641 Å and the angles 90.00°, 90.00° and 120.00°. The asymmetric unit holds Ca at (0.0000, 0.0000, 0.0000), Sb at (0.3333, 0.6667, 0.2500), Pt at (0.3333, 0.6667, 0.7500) and O at (0.0024, 0.3636, 0.6419).

The calculation puts the magnetization at 1.9 Bohr magnetons per cell. The calculated volume is 245.9 Å³ per cell. The calculation puts the formation energy from raw total energies at -1455 meV/atom.

***

Entry 6:
Below is a relaxed structure of Pu4Se, with properties calculated at the PBE-GGA level.

The structure belongs to space group Pm-3m (No. 221); the cell edges are 5.486, 5.486 and 5.486 Å and the angles 90.00°, 90.00° and 90.00°. The asymmetric unit holds Pu at (0.000, 0.000, 0.000), Pu at (0.000, 0.500, 0.500) and Se at (0.500, 0.500, 0.500).

The calculation puts the magnetization at 12.2 Bohr magnetons per cell. The calculated volume is 165.1 Å³ per cell. The calculation puts the formation energy from raw total energies at 181 meV/atom.

***

Entry 7:
Below is a relaxed structure of Ca2Si12Pt7, with properties calculated at the PBE-GGA level.

The structure belongs to space group P-3 (No. 147); the cell edges are 10.0984, 10.0984 and 3.9324 Å and the angles 90.00°, 90.00° and 120.00°. The asymmetric unit holds Ca at (0.3333, 0.6667, 0.2344), Si at (0.0702, 0.6271, 0.7620), Si at (0.1205, 0.8557, 0.2272), Pt at (0.0000, 0.0000, 0.0000) and Pt at (0.1039, 0.4010, 0.7154).

The calculation puts the magnetization at 0.0 Bohr magnetons per cell. The calculated volume is 347.3 Å³ per cell. The calculation puts the formation energy from raw total energies at -564 meV/atom.

***

Entry 8:
Below is a relaxed structure of Tb3Co2Ge4, with properties calculated at the PBE-GGA level.

The structure belongs to space group C2/m (No. 12); the cell edges are 10.709, 4.165 and 8.045 Å and the angles 90.00°, 107.63° and 90.00°. The asymmetric unit holds Tb at (0.000, 0.000, 0.000), Tb at (0.122, 0.500, 0.693), Co at (0.193, 0.500, 0.373), Ge at (0.099, 0.000, 0.399) and Ge at (0.209, 0.500, 0.081).

The calculation puts the magnetization at 0.0 Bohr magnetons per cell. The calculated volume is 342.0 Å³ per cell. The formation energy is -0.72 eV per atom.